Record 1
The following is a PBE-GGA calculation of an optimized crystal structure of TaPtBr, from Alexandria via LeMat-Bulk.

Computed properties:
Its mass density is 12.261 Mg/m³. As for the energy above the lowest structure with this stoichiometry: 26.0 meV per atom. The calculation puts the formation energy without anion corrections at -0.114 eV/atom. Its total energy is -6.64 eV per atom.

Lattice parameters (Å, degrees): 3.2325 3.2325 6.8236 90.00 90.00 120.00
Space group P3m1 (No. 156)
Asymmetric unit:
Ta1 0.0000 0.0000 0.0000
Pt1 0.3333 0.6667 0.7279
Br1 0.6667 0.3333 0.2898

***

Record 2
The following is a PBE-GGA calculation of an optimized crystal structure of TaPt2Br, from Alexandria via LeMat-Bulk.

Computed properties:
Its mass density is 15.634 Mg/m³. As for the energy above the lowest structure with this stoichiometry: 616.4 meV per atom. The calculation puts the formation energy without anion corrections at 0.336 eV/atom. Its total energy is -6.07 eV per atom.

Lattice parameters (Å, degrees): 2.990 4.693 4.927 90.00 90.00 90.00
Space group Pmmm (No. 47)
Asymmetric unit:
Ta1 0.000 0.000 0.000
Pt1 0.000 0.500 0.500
Pt2 0.500 0.000 0.500
Br1 0.500 0.500 0.000

***

Record 3
The following is a PBE-GGA calculation of an optimized crystal structure of TaPtBr2, from Alexandria via LeMat-Bulk.

Computed properties:
Its mass density is 9.140 Mg/m³. As for the energy above the lowest structure with this stoichiometry: 1356.4 meV per atom. The calculation puts the formation energy without anion corrections at 0.942 eV/atom. Its total energy is -4.37 eV per atom.

Lattice parameters (Å, degrees): 6.486 6.486 9.255 90.00 90.00 90.00
Space group I-42d (No. 122)
Asymmetric unit:
Ta1 0.000 0.000 0.000
Pt1 0.000 0.000 0.500
Br1 0.245 0.250 0.125

***

Record 4
The following is a PBE-GGA calculation of an optimized crystal structure of TaPt2Br, from Alexandria via LeMat-Bulk.

Computed properties:
Its mass density is 15.791 Mg/m³. As for the energy above the lowest structure with this stoichiometry: 447.4 meV per atom. The calculation puts the formation energy without anion corrections at 0.167 eV/atom. Its total energy is -6.23 eV per atom.

Lattice parameters (Å, degrees): 6.494 6.494 6.494 90.00 90.00 90.00
Space group F-43m (No. 216)
Asymmetric unit:
Ta1 0.000 0.000 0.000
Pt1 0.000 0.000 0.500
Pt2 0.250 0.250 0.250
Br1 0.250 0.250 0.750

***

Record 5
The following is a PBE-GGA calculation of an optimized crystal structure of TaPt2Br, from Alexandria via LeMat-Bulk.

Computed properties:
Its mass density is 15.285 Mg/m³. As for the energy above the lowest structure with this stoichiometry: 470.4 meV per atom. The calculation puts the formation energy without anion corrections at 0.190 eV/atom. Its total energy is -6.21 eV per atom.

Lattice parameters (Å, degrees): 9.732 3.049 4.803 90.00 97.08 90.00
Space group C2/m (No. 12)
Asymmetric unit:
Ta1 0.000 0.000 0.000
Pt1 0.228 0.500 0.229
Br1 0.000 0.500 0.500

***

Record 6
The following is a PBE-GGA calculation of an optimized crystal structure of TaPtW2Br, from Alexandria via LeMat-Bulk.

Computed properties:
Its mass density is 11.904 Mg/m³. The calculation puts the formation energy without anion corrections at 2.215 eV/atom. Its total energy is -6.88 eV per atom.

Lattice parameters (Å, degrees): 4.874 4.874 4.836 90.00 90.00 90.00
Space group P4/mmm (No. 123)
Asymmetric unit:
Ta1 0.000 0.000 0.000
Pt1 0.500 0.500 0.500
W1 0.000 0.500 0.000
Br1 0.000 0.000 0.500

***

Record 7
The following is a PBE-GGA calculation of an optimized crystal structure of YTa2PtBr, from Alexandria via LeMat-Bulk.

Computed properties:
Its mass density is 9.240 Mg/m³. The calculation puts the formation energy without anion corrections at 0.948 eV/atom. Its total energy is -6.63 eV per atom.

Lattice parameters (Å, degrees): 4.965 4.965 5.292 90.00 90.00 90.00
Space group P4/mmm (No. 123)
Asymmetric unit:
Y1 0.000 0.000 0.000
Ta1 0.000 0.500 0.500
Pt1 0.500 0.500 0.500
Br1 0.500 0.500 0.000

***

Record 8
The following is a PBE-GGA calculation of an optimized crystal structure of Tb7PtBr12, from Alexandria via LeMat-Bulk.

Computed properties:
Its mass density is 5.722 Mg/m³. The calculation puts the formation energy without anion corrections at -1.641 eV/atom. Its total energy is -4.57 eV per atom.

Lattice parameters (Å, degrees): 14.9905 14.9905 10.1398 90.00 90.00 120.00
Space group R-3 (No. 148, hexagonal axes)
Asymmetric unit:
Tb1 0.0000 0.0000 0.0000
Tb2 0.0434 0.8784 0.3462
Pt1 0.0000 0.0000 0.5000
Br1 0.0233 0.4387 0.1585
Br2 0.0481 0.8702 0.8422